A plane-wave DFT calculation with PBE-GGA was carried out for crystalline Lu2NiCl at its relaxed geometry.

Geometry as POSCAR:
```
Lu2NiCl
1.0
1.899 1.096 7.192
-1.899 1.096 7.192
0.000 -2.192 7.192
Lu Ni Cl
2 1 1
Cartesian
0.000 0.000 5.032
0.000 0.000 16.544
0.000 0.000 10.788
0.000 0.000 0.000
```

Properties
The space group is R-3m, No. 166. For the total DFT energy (no corrections), the calculation gives -5.08 eV per atom. The value obtained for the uncorrected formation energy is -910 meV per atom. The calculation puts the total magnetic moment at 0.0 μB/f.u.


A plane-wave DFT calculation with PBE-GGA was carried out for crystalline CeGaNi at its relaxed geometry.

Geometry as POSCAR:
```
CeGaNi
1.0
-1.540 1.540 5.572
1.540 -1.540 5.572
1.540 1.540 -5.572
Ce Ga Ni
1 1 1
Cartesian
0.000 0.000 0.000
0.000 0.000 3.238
0.000 0.000 7.560
```

Properties
The space group is I4mm, No. 107. For the total DFT energy (no corrections), the calculation gives -5.32 eV per atom. The calculation puts the total magnetic moment at 0.0 μB/f.u.


A plane-wave DFT calculation with PBE-GGA was carried out for crystalline ZrPaAsP at its relaxed geometry.

Geometry as POSCAR:
```
ZrPaAsP
1.0
1.888 1.090 6.925
-1.888 1.090 6.925
0.000 -2.180 6.925
Zr Pa As P
1 1 1 1
Cartesian
0.000 0.000 0.000
0.000 0.000 3.735
0.000 0.000 8.670
0.000 0.000 12.378
```

Properties
The space group is R3m, No. 160. For the total DFT energy (no corrections), the calculation gives -8.18 eV per atom. The calculation puts the total magnetic moment at 0.0 μB/f.u.


A plane-wave DFT calculation with PBE-GGA was carried out for crystalline Mn2FeRe at its relaxed geometry.

Geometry as POSCAR:
```
Mn2FeRe
1.0
1.529 -2.047 0.000
1.529 2.047 0.000
0.000 0.000 7.977
Mn Fe Re
2 1 1
Cartesian
0.000 0.000 0.000
1.529 0.000 1.859
1.529 0.000 6.042
0.000 0.000 3.928
```

Properties
The space group is Cmm2, No. 35. For the total DFT energy (no corrections), the calculation gives -9.63 eV per atom. The calculation puts the total magnetic moment at 5.0 μB/f.u.


A plane-wave DFT calculation with PBE-GGA was carried out for crystalline Sm8Sn2Ru at its relaxed geometry.

Geometry as POSCAR:
```
Sm8Sn2Ru
1.0
9.744 -2.538 0.000
9.744 2.538 0.000
-1.840 0.000 6.605
Sm Sn Ru
8 2 1
Cartesian
-0.211 0.000 1.883
2.714 0.000 5.402
5.992 0.000 3.329
7.925 0.000 0.251
9.724 0.000 6.354
11.657 0.000 3.276
14.936 0.000 1.202
17.860 0.000 4.722
3.049 0.000 1.652
14.601 0.000 4.953
8.825 0.000 3.302
```

Properties
The space group is C2/m, No. 12. For the total DFT energy (no corrections), the calculation gives -5.36 eV per atom. The calculation puts the total magnetic moment at 0.0 μB/f.u.


A plane-wave DFT calculation with PBE-GGA was carried out for crystalline Li2NdHg2 at its relaxed geometry.

Geometry as POSCAR:
```
Li2NdHg2
1.0
4.330 -2.499 0.000
4.330 2.499 0.000
-2.773 0.000 4.868
Li Nd Hg
2 1 2
Cartesian
0.074 0.000 1.201
5.813 0.000 3.666
2.944 0.000 2.434
0.067 0.000 4.049
5.821 0.000 0.819
```

Properties
The space group is C2/m, No. 12. For the total DFT energy (no corrections), the calculation gives -2.19 eV per atom. The calculation puts the total magnetic moment at 0.0 μB/f.u.


A plane-wave DFT calculation with PBE-GGA was carried out for crystalline Ca2Ac2SiPt4 at its relaxed geometry.

Geometry as POSCAR:
```
Ca2Ac2SiPt4
1.0
-3.569 3.569 4.271
3.569 -3.569 4.271
3.569 3.569 -4.271
Ca Ac Si Pt
2 2 1 4
Cartesian
0.000 0.000 1.479
0.000 0.000 7.062
3.569 0.000 2.135
0.000 3.569 2.135
0.000 0.000 4.271
1.880 1.880 0.000
1.689 -1.689 4.271
-1.689 1.689 4.271
1.689 1.689 4.271
```

Properties
The space group is I4/mmm, No. 139. For the total DFT energy (no corrections), the calculation gives -5.46 eV per atom. The value obtained for the uncorrected formation energy is -814 meV per atom. The calculation puts the total magnetic moment at 0.0 μB/f.u.


A plane-wave DFT calculation with PBE-GGA was carried out for crystalline PrScTiIr2 at its relaxed geometry.

Geometry as POSCAR:
```
PrScTiIr2
1.0
-2.147 2.147 5.690
2.147 -2.147 5.690
2.147 2.147 -5.690
Pr Sc Ti Ir
1 1 1 2
Cartesian
0.000 0.000 0.000
2.147 0.000 2.845
0.000 2.147 2.845
0.000 0.000 4.360
0.000 0.000 7.021
```

Properties
The space group is I-4m2, No. 119. For the total DFT energy (no corrections), the calculation gives -8.10 eV per atom. The calculation puts the total magnetic moment at 0.0 μB/f.u.


A plane-wave DFT calculation with PBE-GGA was carried out for crystalline Pm3Al5H12 at its relaxed geometry.

Geometry as POSCAR:
```
Pm3Al5H12
1.0
-6.072 6.072 6.072
6.072 -6.072 6.072
6.072 6.072 -6.072
Pm Al H
12 20 48
Cartesian
3.036 1.518 0.000
6.072 3.036 -1.518
1.518 0.000 3.036
7.589 0.000 3.036
0.000 3.036 1.518
3.036 -1.518 6.072
3.036 7.589 0.000
6.072 3.036 4.554
-1.518 6.072 3.036
4.554 6.072 3.036
0.000 3.036 7.589
3.036 4.554 6.072
0.000 0.000 0.000
3.036 3.036 -3.036
3.036 -3.036 3.036
6.072 0.000 0.000
9.107 1.518 0.000
6.072 -3.036 4.554
4.554 6.072 -3.036
4.554 0.000 3.036
3.036 4.554 0.000
6.072 3.036 1.518
-3.036 3.036 3.036
0.000 6.072 0.000
0.000 0.000 6.072
3.036 3.036 3.036
0.000 3.036 4.554
3.036 1.518 6.072
1.518 6.072 3.036
1.518 0.000 9.107
0.000 9.107 1.518
-3.036 4.554 6.072
1.761 -0.330 0.671
7.347 3.707 -3.366
7.832 0.330 0.671
7.347 -2.365 3.366
5.741 -0.671 1.761
9.438 -1.275 2.365
0.671 1.761 -0.330
8.437 2.706 -1.275
3.707 3.366 -1.275
5.401 1.761 0.330
-0.330 0.671 1.761
3.366 -1.275 3.707
5.741 5.401 -1.761
3.366 1.275 2.365
3.707 -3.366 7.347
5.401 -1.761 5.741
2.365 3.366 1.275
6.742 4.311 0.330
3.366 7.347 -2.365
5.741 0.671 4.311
1.761 5.741 -0.671
7.347 2.365 2.706
1.275 2.365 3.366
1.761 0.330 5.401
4.311 5.741 0.671
4.796 3.707 2.706
-1.275 3.707 3.366
4.311 0.330 6.742
0.330 5.401 1.761
2.706 -1.275 8.437
-0.671 1.761 5.741
3.707 2.706 4.796
0.671 7.832 0.330
2.365 9.438 -1.275
2.706 4.796 3.707
0.330 0.671 7.832
2.706 7.347 2.365
6.402 5.401 4.311
0.671 4.311 5.741
2.365 2.706 7.347
-2.365 3.366 7.347
5.401 4.311 6.402
-3.366 7.347 3.707
0.330 6.742 4.311
-1.275 8.437 2.706
-1.761 5.741 5.401
-1.275 2.365 9.438
4.311 6.402 5.401
```

Properties
The space group is Ia-3d, No. 230. For the total DFT energy (no corrections), the calculation gives -3.65 eV per atom. The calculation puts the total magnetic moment at 0.0 μB/f.u.


A plane-wave DFT calculation with PBE-GGA was carried out for crystalline TcOs2F at its relaxed geometry.

Geometry as POSCAR:
```
TcOs2F
1.0
-3.309 3.309 2.646
3.309 -3.309 2.646
3.309 3.309 -2.646
Tc Os F
2 4 2
Cartesian
0.000 0.000 0.000
0.000 3.309 1.323
1.654 -1.594 1.984
1.715 1.654 0.661
1.654 4.903 -0.661
1.594 1.654 3.307
3.309 0.000 1.323
0.000 0.000 2.646
```

Properties
The space group is I-42d, No. 122. For the total DFT energy (no corrections), the calculation gives -7.95 eV per atom. The value obtained for the uncorrected formation energy is 723 meV per atom. The calculation puts the total magnetic moment at 0.0 μB/f.u.


A plane-wave DFT calculation with PBE-GGA was carried out for crystalline Cd2IrAu at its relaxed geometry.

Geometry as POSCAR:
```
Cd2IrAu
1.0
3.058 0.000 0.000
0.000 3.948 0.000
-0.086 0.000 5.984
Cd Ir Au
2 1 1
Cartesian
-0.015 0.000 1.423
2.987 0.000 4.561
1.529 1.974 0.000
1.486 1.974 2.992
```

Properties
The space group is P2/m, No. 10. For the total DFT energy (no corrections), the calculation gives -3.44 eV per atom. The calculation puts the total magnetic moment at 0.0 μB/f.u.


A plane-wave DFT calculation with PBE-GGA was carried out for crystalline Sm5HoTl at its relaxed geometry.

Geometry as POSCAR:
```
Sm5HoTl
1.0
-4.301 5.813 2.981
4.301 -5.813 2.981
4.301 5.813 -2.981
Sm Ho Tl
5 1 1
Cartesian
0.000 0.000 0.000
4.301 2.904 -0.685
2.822 0.000 1.678
5.779 0.000 1.678
0.000 2.909 2.296
0.000 0.000 3.066
0.000 5.813 1.536
```

Properties
The space group is Imm2, No. 44. For the total DFT energy (no corrections), the calculation gives -3.62 eV per atom. The calculation puts the total magnetic moment at 0.0 μB/f.u.